--- A ---
# BPS2F

An optimized crystal structure of BPS2F (PBE-GGA, Alexandria via LeMat-Bulk).

Calculated density, g cm⁻³: 2.371

Cell lengths 4.8199, 4.8199, 3.7652 Å; angles 90.00, 90.00, 90.00 degrees
Sites, in units of the cell vectors:
1 B 0.0000 0.0000 0.0000
2 P 0.5000 0.5000 0.0000
3 S 0.0000 0.5000 0.5000
4 S 0.5000 0.0000 0.5000
5 F 0.5000 0.5000 0.5000

***

--- B ---
# BPS2F

An optimized crystal structure of BPS2F (PBE-GGA, Alexandria via LeMat-Bulk).

Calculated density, g cm⁻³: 2.971

Cell lengths 4.0807, 4.0807, 4.1921 Å; angles 90.00, 90.00, 90.00 degrees
Sites, in units of the cell vectors:
1 B 0.0000 0.0000 0.0000
2 P 0.0000 0.0000 0.5000
3 S 0.0000 0.5000 0.0000
4 S 0.5000 0.0000 0.0000
5 F 0.5000 0.5000 0.5000

***

The structures above, arranged from the most stable to the least stable: B, A.